Entry 1:
# PBE-GGA La2GaNi3Sn4, relaxed
data_La2GaNi3Sn4
_space_group_name_H-M_alt 'P -4 m 2'
_space_group_IT_number 115
_cell_length_a 4.510
_cell_length_b 4.510
_cell_length_c 10.545
_cell_angle_alpha 90.00
_cell_angle_beta 90.00
_cell_angle_gamma 90.00
loop_
_space_group_symop_operation_xyz
'x,y,z'
'y,-x,-z'
'-x,-y,z'
'-y,x,-z'
'-x,y,z'
'-y,-x,-z'
'x,-y,z'
'y,x,-z'
loop_
_atom_site_label
_atom_site_type_symbol
_atom_site_fract_x
_atom_site_fract_y
_atom_site_fract_z
_atom_site_occupancy
La1 La 0.000 0.500 0.249 1
Ga1 Ga 0.500 0.500 0.000 1
Ni1 Ni 0.000 0.000 0.000 1
Ni2 Ni 0.000 0.500 0.621 1
Sn1 Sn 0.000 0.000 0.500 1
Sn2 Sn 0.000 0.500 0.859 1
Sn3 Sn 0.500 0.500 0.500 1
# Final energy, Ha/atom: -0.190
# Mass density, g/cm3: 7.73
# DOS at the Fermi energy, states/eV per cell: 4.74
# Calculated volume, Å³/cell: 214.5
# Calculated formation energy, eV/atom: -0.55

Entry 2:
# PBE-GGA LaTaGaNi2, relaxed
data_LaTaGaNi2
_space_group_name_H-M_alt 'P 4/m m m'
_space_group_IT_number 123
_space_group_name_Hall '-P 4 2'
_cell_length_a 4.574
_cell_length_b 4.574
_cell_length_c 5.381
_cell_angle_alpha 90.00
_cell_angle_beta 90.00
_cell_angle_gamma 90.00
loop_
_atom_site_label
_atom_site_type_symbol
_atom_site_fract_x
_atom_site_fract_y
_atom_site_fract_z
_atom_site_occupancy
La1 La 0.000 0.000 0.000 1
Ta1 Ta 0.000 0.000 0.500 1
Ga1 Ga 0.500 0.500 0.500 1
Ni1 Ni 0.000 0.500 0.000 1
# Final energy, Ha/atom: -0.172
# Mass density, g/cm3: 7.48
# DOS at the Fermi energy, states/eV per cell: 3.80
# Calculated volume, Å³/cell: 112.6
# Calculated formation energy, eV/atom: 1.59

Entry 3:
# PBE-GGA LaTbGaNi, relaxed
data_LaTbGaNi
_space_group_name_H-M_alt 'F -4 3 m'
_space_group_IT_number 216
_space_group_name_Hall 'F -4 2 3'
_cell_length_a 7.196
_cell_length_b 7.196
_cell_length_c 7.196
_cell_angle_alpha 90.00
_cell_angle_beta 90.00
_cell_angle_gamma 90.00
loop_
_atom_site_label
_atom_site_type_symbol
_atom_site_fract_x
_atom_site_fract_y
_atom_site_fract_z
_atom_site_occupancy
La1 La 0.000 0.000 0.000 1
Tb1 Tb 0.000 0.000 0.500 1
Ga1 Ga 0.250 0.250 0.250 1
Ni1 Ni 0.250 0.250 0.750 1
# Final energy, Ha/atom: -0.182
# Mass density, g/cm3: 7.60
# DOS at the Fermi energy, states/eV per cell: 15.31
# Calculated volume, Å³/cell: 372.5
# Calculated formation energy, eV/atom: -0.37

Entry 4:
# PBE-GGA LaTbGa2Ni2, relaxed
data_LaTbGa2Ni2
_space_group_name_H-M_alt 'P -3 m 1'
_space_group_IT_number 164
_space_group_name_Hall '-P 3 2"'
_cell_length_a 4.3532
_cell_length_b 4.3532
_cell_length_c 7.2923
_cell_angle_alpha 90.00
_cell_angle_beta 90.00
_cell_angle_gamma 120.00
loop_
_atom_site_label
_atom_site_type_symbol
_atom_site_fract_x
_atom_site_fract_y
_atom_site_fract_z
_atom_site_occupancy
La1 La 0.0000 0.0000 0.0000 1
Tb1 Tb 0.0000 0.0000 0.5000 1
Ga1 Ga 0.3333 0.6667 0.2753 1
Ni1 Ni 0.3333 0.6667 0.7230 1
# Final energy, Ha/atom: -0.187
# Mass density, g/cm3: 7.70
# DOS at the Fermi energy, states/eV per cell: 5.15
# Calculated volume, Å³/cell: 119.7
# Calculated formation energy, eV/atom: -0.57

Entry 5:
# PBE-GGA La2GaNiTe, relaxed
data_La2GaNiTe
_space_group_name_H-M_alt 'P 4/m m m'
_space_group_IT_number 123
_space_group_name_Hall '-P 4 2'
_cell_length_a 5.509
_cell_length_b 5.509
_cell_length_c 4.503
_cell_angle_alpha 90.00
_cell_angle_beta 90.00
_cell_angle_gamma 90.00
loop_
_atom_site_label
_atom_site_type_symbol
_atom_site_fract_x
_atom_site_fract_y
_atom_site_fract_z
_atom_site_occupancy
La1 La 0.000 0.500 0.000 1
Ga1 Ga 0.000 0.000 0.500 1
Ni1 Ni 0.000 0.000 0.000 1
Te1 Te 0.500 0.500 0.500 1
# Final energy, Ha/atom: -0.189
# Mass density, g/cm3: 6.49
# DOS at the Fermi energy, states/eV per cell: 4.46
# Calculated volume, Å³/cell: 136.7

Entry 6:
# PBE-GGA LaGa2NiTe, relaxed
data_LaGa2NiTe
_space_group_name_H-M_alt 'P 4/m m m'
_space_group_IT_number 123
_space_group_name_Hall '-P 4 2'
_cell_length_a 4.672
_cell_length_b 4.672
_cell_length_c 5.423
_cell_angle_alpha 90.00
_cell_angle_beta 90.00
_cell_angle_gamma 90.00
loop_
_atom_site_label
_atom_site_type_symbol
_atom_site_fract_x
_atom_site_fract_y
_atom_site_fract_z
_atom_site_occupancy
La1 La 0.000 0.000 0.000 1
Ga1 Ga 0.000 0.500 0.500 1
Ni1 Ni 0.000 0.000 0.500 1
Te1 Te 0.500 0.500 0.000 1
# Final energy, Ha/atom: -0.171
# Mass density, g/cm3: 6.52
# DOS at the Fermi energy, states/eV per cell: 2.17
# Calculated volume, Å³/cell: 118.4

Entry 7:
# PBE-GGA LaGaNi2Te, relaxed
data_LaGaNi2Te
_space_group_name_H-M_alt 'P 4/m m m'
_space_group_IT_number 123
_space_group_name_Hall '-P 4 2'
_cell_length_a 4.778
_cell_length_b 4.778
_cell_length_c 5.810
_cell_angle_alpha 90.00
_cell_angle_beta 90.00
_cell_angle_gamma 90.00
loop_
_atom_site_label
_atom_site_type_symbol
_atom_site_fract_x
_atom_site_fract_y
_atom_site_fract_z
_atom_site_occupancy
La1 La 0.000 0.000 0.000 1
Ga1 Ga 0.000 0.000 0.500 1
Ni1 Ni 0.000 0.500 0.000 1
Te1 Te 0.500 0.500 0.500 1
# Final energy, Ha/atom: -0.135
# Mass density, g/cm3: 5.68
# DOS at the Fermi energy, states/eV per cell: 3.61
# Calculated volume, Å³/cell: 132.7

Entry 8:
# PBE-GGA LaTlGa2Ni, relaxed
data_LaTlGa2Ni
_space_group_name_H-M_alt 'P 4/m m m'
_space_group_IT_number 123
_space_group_name_Hall '-P 4 2'
_cell_length_a 4.720
_cell_length_b 4.720
_cell_length_c 5.021
_cell_angle_alpha 90.00
_cell_angle_beta 90.00
_cell_angle_gamma 90.00
loop_
_atom_site_label
_atom_site_type_symbol
_atom_site_fract_x
_atom_site_fract_y
_atom_site_fract_z
_atom_site_occupancy
La1 La 0.000 0.000 0.000 1
Tl1 Tl 0.500 0.500 0.000 1
Ga1 Ga 0.000 0.500 0.500 1
Ni1 Ni 0.500 0.500 0.500 1
# Final energy, Ha/atom: -0.150
# Mass density, g/cm3: 8.04
# DOS at the Fermi energy, states/eV per cell: 4.86
# Energy above the most stable polymorph in this dataset, eV/f.u.: 0.37
# Calculated volume, Å³/cell: 111.9
# Calculated formation energy, eV/atom: -0.26

Entry 9:
# PBE-GGA LaTlGa2Ni, relaxed
data_LaTlGa2Ni
_space_group_name_H-M_alt 'P 4/m m m'
_space_group_IT_number 123
_space_group_name_Hall '-P 4 2'
_cell_length_a 4.757
_cell_length_b 4.757
_cell_length_c 5.153
_cell_angle_alpha 90.00
_cell_angle_beta 90.00
_cell_angle_gamma 90.00
loop_
_atom_site_label
_atom_site_type_symbol
_atom_site_fract_x
_atom_site_fract_y
_atom_site_fract_z
_atom_site_occupancy
La1 La 0.000 0.000 0.000 1
Tl1 Tl 0.500 0.500 0.000 1
Ga1 Ga 0.000 0.500 0.500 1
Ni1 Ni 0.000 0.000 0.500 1
# Final energy, Ha/atom: -0.153
# Mass density, g/cm3: 7.71
# DOS at the Fermi energy, states/eV per cell: 3.24
# Energy above the most stable polymorph in this dataset, eV/f.u.: 0.00
# Calculated volume, Å³/cell: 116.6
# Calculated formation energy, eV/atom: -0.33

Entry 10:
# PBE-GGA La2TmGa12Ni3, relaxed
data_La2TmGa12Ni3
_space_group_name_H-M_alt 'R -3 m'
_space_group_IT_number 166
_space_group_name_Hall '-R 3 2"'
_cell_length_a 8.5419
_cell_length_b 8.5419
_cell_length_c 18.7009
_cell_angle_alpha 90.00
_cell_angle_beta 90.00
_cell_angle_gamma 120.00
loop_
_atom_site_label
_atom_site_type_symbol
_atom_site_fract_x
_atom_site_fract_y
_atom_site_fract_z
_atom_site_occupancy
La1 La 0.0000 0.0000 0.0817 1
Tm1 Tm 0.0000 0.0000 0.5000 1
Ga1 Ga 0.0733 0.5367 0.3144 1
Ga2 Ga 0.0854 0.5427 0.8784 1
Ni1 Ni 0.0000 0.5000 0.0000 1
# Final energy, Ha/atom: -0.144
# Mass density, g/cm3: 6.15
# DOS at the Fermi energy, states/eV per cell: 31.12
# Calculated volume, Å³/cell: 1181.7
# Calculated formation energy, eV/atom: -0.14

Entry 11:
# PBE-GGA LaTmGa2Ni2, relaxed
data_LaTmGa2Ni2
_space_group_name_H-M_alt 'P -3 m 1'
_space_group_IT_number 164
_space_group_name_Hall '-P 3 2"'
_cell_length_a 4.3381
_cell_length_b 4.3381
_cell_length_c 7.2091
_cell_angle_alpha 90.00
_cell_angle_beta 90.00
_cell_angle_gamma 120.00
loop_
_atom_site_label
_atom_site_type_symbol
_atom_site_fract_x
_atom_site_fract_y
_atom_site_fract_z
_atom_site_occupancy
La1 La 0.0000 0.0000 0.0000 1
Tm1 Tm 0.0000 0.0000 0.5000 1
Ga1 Ga 0.3333 0.6667 0.2842 1
Ni1 Ni 0.3333 0.6667 0.7103 1
# Final energy, Ha/atom: -0.187
# Mass density, g/cm3: 7.98
# DOS at the Fermi energy, states/eV per cell: 5.05
# Calculated volume, Å³/cell: 117.5
# Calculated formation energy, eV/atom: -0.59

Entry 12:
# PBE-GGA LaZnGaNi6, relaxed
data_LaZnGaNi6
_space_group_name_H-M_alt 'I m m a'
_space_group_IT_number 74
_space_group_name_Hall '-I 2b 2'
_cell_length_a 5.159
_cell_length_b 7.479
_cell_length_c 13.618
_cell_angle_alpha 90.00
_cell_angle_beta 90.00
_cell_angle_gamma 90.00
loop_
_atom_site_label
_atom_site_type_symbol
_atom_site_fract_x
_atom_site_fract_y
_atom_site_fract_z
_atom_site_occupancy
La1 La 0.000 0.250 0.002 1
Zn1 Zn 0.000 0.000 0.500 1
Ga1 Ga 0.250 0.250 0.250 1
Ni1 Ni 0.000 0.250 0.392 1
Ni2 Ni 0.000 0.250 0.753 1
Ni3 Ni 0.247 0.029 0.656 1
# Final energy, Ha/atom: -0.185
# Mass density, g/cm3: 7.92
# DOS at the Fermi energy, states/eV per cell: 29.37
# Calculated volume, Å³/cell: 525.4
# Calculated formation energy, eV/atom: -0.16